No. 1
VASP calculation (PBE) on a geometry-optimized PrNd3Pt8 structure.

abc: 5.5223 5.5223 9.5726
angles: 73.24 73.24 60.00
Fractional positions:
Pr: 0.8750 0.8750 0.3750
Nd: 0.3749 0.3749 0.8754
Nd: 0.0003 0.0003 0.9992
Nd: 0.4999 0.4999 0.5004
Pt: 0.9378 0.4376 0.1869
Pt: 0.4370 0.9375 0.6880
Pt: 0.4376 0.4376 0.1869
Pt: 0.9375 0.9375 0.6880
Pt: 0.1875 0.1875 0.4376
Pt: 0.6875 0.6875 0.9375
Pt: 0.4376 0.9378 0.1869
Pt: 0.9375 0.4370 0.6880

Raw total energy in eV/cell: -80.1
Density of states at the Fermi level in states/eV per cell: 1.62



No. 2
VASP calculation (PBE) on a geometry-optimized PrNd5Pt2 structure.

abc: 3.9164 7.1157 18.9890
angles: 90.00 90.00 105.97
Fractional positions:
Pr: 0.7114 0.4227 0.7500
Pr: 0.2886 0.5773 0.2500
Nd: 0.9425 0.8849 0.9106
Nd: 0.9425 0.8849 0.5894
Nd: 0.3299 0.6598 0.4422
Nd: 0.3299 0.6598 0.0578
Nd: 0.5613 0.1226 0.2500
Nd: 0.4387 0.8774 0.7500
Nd: 0.6701 0.3402 0.5578
Nd: 0.6701 0.3402 0.9422
Nd: 0.0575 0.1151 0.0894
Nd: 0.0575 0.1151 0.4106
Pt: 0.7080 0.4159 0.3653
Pt: 0.7080 0.4159 0.1347
Pt: 0.2920 0.5841 0.6347
Pt: 0.2920 0.5841 0.8653

Raw total energy in eV/cell: -89.6
Density of states at the Fermi level in states/eV per cell: 20.43



No. 3
VASP calculation (PBE) on a geometry-optimized Pr3NdPt structure.

abc: 3.9159 6.5611 13.1321
angles: 85.85 81.43 72.64
Fractional positions:
Pr: 0.4488 0.9504 0.1519
Pr: 0.7646 0.7142 0.7566
Pr: 0.1034 0.1698 0.6234
Pr: 0.9892 0.1086 0.9131
Pr: 0.7851 0.0432 0.3866
Pr: 0.4277 0.6246 0.5200
Nd: 0.1092 0.4981 0.2834
Nd: 0.2233 0.5564 0.9970
Pt: 0.7644 0.3381 0.1331
Pt: 0.4451 0.3334 0.7764

Raw total energy in eV/cell: -54.9
Density of states at the Fermi level in states/eV per cell: 12.72



Asked for total magnetic moment across the records above, the calculation gives 0.00 0.00 0.00 μB/f.u. in order.